First-principles (PBE) data for a relaxed CoReCl3 crystal, as listed in Alexandria via LeMat-Bulk.

Geometry as POSCAR:
```
CoReCl3
1.0
4.845 0.000 0.000
0.000 4.845 0.000
0.000 0.000 4.845
Co Re Cl
1 1 3
direct
0.000 0.000 0.000 Co
0.500 0.500 0.500 Re
0.000 0.500 0.500 Cl
0.500 0.000 0.500 Cl
0.500 0.500 0.000 Cl
```

Total DFT energy (no corrections): -20.9 eV per formula unit
Polymorph energy (0 for the lowest one): 0.10 eV per formula unit
Energy relative to the elements, uncorrected: 4.24 eV per formula unit
SG: Pm-3m, No. 221
Magnetic moment: 5.07 μB per formula unit
Density: 5.13 g/cm³